# 1
# Li2YCdN (PBE-GGA, optimized geometry)
# SG: No. 123
# E_form (uncorrected): -0.44 eV/atom
data_Li2YCdN
_chemical_formula_sum 'Li2 Y1 Cd1 N1'
_space_group_name_H-M_alt 'P 1'
_space_group_IT_number 1
_space_group_name_Hall 'P 1'
_cell_length_a 4.449
_cell_length_b 4.449
_cell_length_c 4.607
_cell_angle_alpha 90.00
_cell_angle_beta 90.00
_cell_angle_gamma 90.00
loop_
_atom_site_label
_atom_site_type_symbol
_atom_site_fract_x
_atom_site_fract_y
_atom_site_fract_z
_atom_site_occupancy
Y1 Y 0.000 0.000 0.500 1
N1 N 0.000 0.000 0.000 1
Li1 Li 0.000 0.500 0.000 1
Li2 Li 0.500 0.000 0.000 1
Cd1 Cd 0.500 0.500 0.500 1


# 2
# NaLi3Cd2 (PBE-GGA, optimized geometry)
# DFT formation energy: -0.133 eV per atom
# E above lowest polymorph: 14 kJ/mol of formula units
# SG: No. 12
data_NaLi3Cd2
_chemical_formula_sum 'Na2 Li6 Cd4'
_space_group_name_H-M_alt 'P 1'
_space_group_IT_number 1
_space_group_name_Hall 'P 1'
_cell_length_a 5.021
_cell_length_b 8.593
_cell_length_c 6.605
_cell_angle_alpha 112.65
_cell_angle_beta 90.00
_cell_angle_gamma 106.99
loop_
_atom_site_label
_atom_site_type_symbol
_atom_site_fract_x
_atom_site_fract_y
_atom_site_fract_z
_atom_site_occupancy
Na1 Na 0.912 0.824 0.043 1
Na2 Na 0.088 0.176 0.957 1
Li1 Li 0.259 0.517 0.391 1
Li2 Li 0.906 0.811 0.529 1
Li3 Li 0.585 0.170 0.693 1
Li4 Li 0.415 0.830 0.307 1
Li5 Li 0.094 0.189 0.471 1
Li6 Li 0.741 0.483 0.609 1
Cd1 Cd 0.425 0.850 0.768 1
Cd2 Cd 0.575 0.150 0.232 1
Cd3 Cd 0.740 0.481 0.132 1
Cd4 Cd 0.260 0.519 0.868 1


# 3
# Na12Li3Cd (PBE-GGA, optimized geometry)
# DFT formation energy: 0.024 eV per atom
# SG: No. 123
data_Na12Li3Cd
_chemical_formula_sum 'Na12 Li3 Cd1'
_space_group_name_H-M_alt 'P 1'
_space_group_IT_number 1
_space_group_name_Hall 'P 1'
_cell_length_a 5.191
_cell_length_b 5.191
_cell_length_c 18.932
_cell_angle_alpha 90.00
_cell_angle_beta 90.00
_cell_angle_gamma 90.00
loop_
_atom_site_label
_atom_site_type_symbol
_atom_site_fract_x
_atom_site_fract_y
_atom_site_fract_z
_atom_site_occupancy
Na1 Na 0.500 0.500 0.000 1
Na2 Na 0.500 0.500 0.247 1
Na3 Na 0.500 0.500 0.500 1
Na4 Na 0.500 0.500 0.753 1
Na5 Na 0.500 0.000 0.119 1
Na6 Na 0.500 0.000 0.373 1
Na7 Na 0.500 0.000 0.627 1
Na8 Na 0.500 0.000 0.881 1
Na9 Na 0.000 0.500 0.119 1
Na10 Na 0.000 0.500 0.373 1
Na11 Na 0.000 0.500 0.627 1
Na12 Na 0.000 0.500 0.881 1
Li1 Li 0.000 0.000 0.248 1
Li2 Li 0.000 0.000 0.500 1
Li3 Li 0.000 0.000 0.752 1
Cd1 Cd 0.000 0.000 0.000 1


# 4
# Na2Li5Cd5 (PBE-GGA, optimized geometry)
# DFT formation energy: -0.149 eV per atom
# SG: No. 12
data_Na2Li5Cd5
_chemical_formula_sum 'Na2 Li5 Cd5'
_space_group_name_H-M_alt 'P 1'
_space_group_IT_number 1
_space_group_name_Hall 'P 1'
_cell_length_a 4.514
_cell_length_b 9.267
_cell_length_c 6.827
_cell_angle_alpha 99.06
_cell_angle_beta 70.70
_cell_angle_gamma 75.90
loop_
_atom_site_label
_atom_site_type_symbol
_atom_site_fract_x
_atom_site_fract_y
_atom_site_fract_z
_atom_site_occupancy
Na1 Na 0.337 0.497 0.829 1
Na2 Na 0.663 0.503 0.171 1
Li1 Li 0.682 0.232 0.403 1
Li2 Li 0.017 0.225 0.741 1
Li3 Li 0.983 0.775 0.259 1
Li4 Li 0.318 0.768 0.597 1
Li5 Li 0.000 0.000 0.000 1
Cd1 Cd 0.000 0.500 0.500 1
Cd2 Cd 0.664 0.765 0.907 1
Cd3 Cd 0.335 0.992 0.338 1
Cd4 Cd 0.665 0.008 0.662 1
Cd5 Cd 0.336 0.235 0.093 1


# 5
# NaLi3Cd4 (PBE-GGA, optimized geometry)
# DFT formation energy: -0.174 eV per atom
# SG: No. 12
data_NaLi3Cd4
_chemical_formula_sum 'Na1 Li3 Cd4'
_space_group_name_H-M_alt 'P 1'
_space_group_IT_number 1
_space_group_name_Hall 'P 1'
_cell_length_a 4.848
_cell_length_b 4.848
_cell_length_c 8.353
_cell_angle_alpha 74.88
_cell_angle_beta 74.87
_cell_angle_gamma 60.66
loop_
_atom_site_label
_atom_site_type_symbol
_atom_site_fract_x
_atom_site_fract_y
_atom_site_fract_z
_atom_site_occupancy
Na1 Na 0.000 0.000 0.000 1
Cd1 Cd 0.869 0.869 0.392 1
Cd2 Cd 0.383 0.383 0.851 1
Cd3 Cd 0.131 0.131 0.608 1
Cd4 Cd 0.617 0.617 0.149 1
Li1 Li 0.252 0.252 0.247 1
Li2 Li 0.748 0.748 0.753 1
Li3 Li 0.500 0.500 0.500 1


# 6
# NaLi7Cd3 (PBE-GGA, optimized geometry)
# DFT formation energy: -0.109 eV per atom
# SG: No. 63
data_NaLi7Cd3
_chemical_formula_sum 'Na2 Li14 Cd6'
_space_group_name_H-M_alt 'P 1'
_space_group_IT_number 1
_space_group_name_Hall 'P 1'
_cell_length_a 3.118
_cell_length_b 11.859
_cell_length_c 12.279
_cell_angle_alpha 90.00
_cell_angle_beta 90.00
_cell_angle_gamma 97.55
loop_
_atom_site_label
_atom_site_type_symbol
_atom_site_fract_x
_atom_site_fract_y
_atom_site_fract_z
_atom_site_occupancy
Na1 Na 0.898 0.796 0.250 1
Na2 Na 0.102 0.204 0.750 1
Li1 Li 0.398 0.797 0.750 1
Li2 Li 0.602 0.203 0.250 1
Li3 Li 0.496 0.991 0.382 1
Li4 Li 0.504 0.009 0.618 1
Li5 Li 0.504 0.009 0.882 1
Li6 Li 0.496 0.991 0.118 1
Li7 Li 0.315 0.631 0.428 1
Li8 Li 0.685 0.369 0.572 1
Li9 Li 0.194 0.389 0.378 1
Li10 Li 0.806 0.611 0.622 1
Li11 Li 0.806 0.611 0.878 1
Li12 Li 0.194 0.389 0.122 1
Li13 Li 0.315 0.631 0.072 1
Li14 Li 0.685 0.369 0.928 1
Cd1 Cd 0.086 0.172 0.480 1
Cd2 Cd 0.914 0.828 0.520 1
Cd3 Cd 0.233 0.466 0.750 1
Cd4 Cd 0.767 0.534 0.250 1
Cd5 Cd 0.086 0.172 0.020 1
Cd6 Cd 0.914 0.828 0.980 1


# 7
# NaLi17Cd (PBE-GGA, optimized geometry)
# DFT formation energy: 0.005 eV per atom
# SG: No. 160
data_NaLi17Cd
_chemical_formula_sum 'Na1 Li17 Cd1'
_space_group_name_H-M_alt 'P 1'
_space_group_IT_number 1
_space_group_name_Hall 'P 1'
_cell_length_a 7.539
_cell_length_b 7.539
_cell_length_c 7.539
_cell_angle_alpha 75.24
_cell_angle_beta 75.24
_cell_angle_gamma 75.24
loop_
_atom_site_label
_atom_site_type_symbol
_atom_site_fract_x
_atom_site_fract_y
_atom_site_fract_z
_atom_site_occupancy
Na1 Na 0.658 0.658 0.658 1
Li1 Li 0.310 0.015 0.679 1
Li2 Li 0.679 0.310 0.015 1
Li3 Li 0.015 0.679 0.310 1
Li4 Li 0.310 0.679 0.015 1
Li5 Li 0.015 0.310 0.679 1
Li6 Li 0.679 0.015 0.310 1
Li7 Li 0.318 0.953 0.318 1
Li8 Li 0.318 0.318 0.953 1
Li9 Li 0.953 0.318 0.318 1
Li10 Li 0.598 0.256 0.598 1
Li11 Li 0.598 0.598 0.256 1
Li12 Li 0.256 0.598 0.598 1
Li13 Li 0.950 0.555 0.950 1
Li14 Li 0.950 0.950 0.555 1
Li15 Li 0.555 0.950 0.950 1
Li16 Li 0.923 0.923 0.923 1
Li17 Li 0.081 0.081 0.081 1
Cd1 Cd 0.333 0.333 0.333 1


# 8
# Na2Li5Cd4 (PBE-GGA, optimized geometry)
# DFT formation energy: -0.142 eV per atom
# SG: No. 10
data_Na2Li5Cd4
_chemical_formula_sum 'Na2 Li5 Cd4'
_space_group_name_H-M_alt 'P 1'
_space_group_IT_number 1
_space_group_name_Hall 'P 1'
_cell_length_a 3.126
_cell_length_b 7.893
_cell_length_c 9.915
_cell_angle_alpha 108.56
_cell_angle_beta 90.00
_cell_angle_gamma 90.00
loop_
_atom_site_label
_atom_site_type_symbol
_atom_site_fract_x
_atom_site_fract_y
_atom_site_fract_z
_atom_site_occupancy
Na1 Na 0.000 0.856 0.583 1
Na2 Na 0.000 0.144 0.417 1
Li1 Li 0.000 0.495 0.346 1
Li2 Li 0.000 0.938 0.113 1
Li3 Li 0.000 0.500 0.000 1
Li4 Li 0.000 0.062 0.887 1
Li5 Li 0.000 0.505 0.654 1
Cd1 Cd 0.500 0.269 0.752 1
Cd2 Cd 0.500 0.735 0.873 1
Cd3 Cd 0.500 0.731 0.248 1
Cd4 Cd 0.500 0.265 0.127 1


# 9
# NaLi9Cd2 (PBE-GGA, optimized geometry)
# DFT formation energy: -0.087 eV per atom
# SG: No. 123
data_NaLi9Cd2
_chemical_formula_sum 'Na1 Li9 Cd2'
_space_group_name_H-M_alt 'P 1'
_space_group_IT_number 1
_space_group_name_Hall 'P 1'
_cell_length_a 4.835
_cell_length_b 4.835
_cell_length_c 10.425
_cell_angle_alpha 90.00
_cell_angle_beta 90.00
_cell_angle_gamma 90.00
loop_
_atom_site_label
_atom_site_type_symbol
_atom_site_fract_x
_atom_site_fract_y
_atom_site_fract_z
_atom_site_occupancy
Na1 Na 0.000 0.000 0.000 1
Li1 Li 0.500 0.500 0.000 1
Li2 Li 0.500 0.500 0.344 1
Li3 Li 0.500 0.500 0.656 1
Li4 Li 0.500 0.000 0.196 1
Li5 Li 0.500 0.000 0.500 1
Li6 Li 0.500 0.000 0.804 1
Li7 Li 0.000 0.500 0.196 1
Li8 Li 0.000 0.500 0.500 1
Li9 Li 0.000 0.500 0.804 1
Cd1 Cd 0.000 0.000 0.347 1
Cd2 Cd 0.000 0.000 0.653 1


# 10
# NaLiCd3 (PBE-GGA, optimized geometry)
# DFT formation energy: -0.089 eV per atom
# E above lowest polymorph: 5 kJ/mol of formula units
# SG: No. 15
data_NaLiCd3
_chemical_formula_sum 'Na4 Li4 Cd12'
_space_group_name_H-M_alt 'P 1'
_space_group_IT_number 1
_space_group_name_Hall 'P 1'
_cell_length_a 8.562
_cell_length_b 8.559
_cell_length_c 8.559
_cell_angle_alpha 106.41
_cell_angle_beta 120.29
_cell_angle_gamma 59.71
loop_
_atom_site_label
_atom_site_type_symbol
_atom_site_fract_x
_atom_site_fract_y
_atom_site_fract_z
_atom_site_occupancy
Na1 Na 0.750 0.016 0.016 1
Na2 Na 0.250 0.984 0.984 1
Na3 Na 0.750 0.497 0.497 1
Na4 Na 0.250 0.503 0.503 1
Li1 Li 0.306 0.594 0.891 1
Li2 Li 0.194 0.891 0.594 1
Li3 Li 0.694 0.406 0.109 1
Li4 Li 0.806 0.109 0.406 1
Cd1 Cd 0.416 0.353 0.152 1
Cd2 Cd 0.084 0.152 0.353 1
Cd3 Cd 0.584 0.647 0.848 1
Cd4 Cd 0.916 0.848 0.647 1
Cd5 Cd 0.975 0.622 0.893 1
Cd6 Cd 0.525 0.893 0.622 1
Cd7 Cd 0.025 0.378 0.107 1
Cd8 Cd 0.475 0.107 0.378 1
Cd9 Cd 0.744 0.248 0.749 1
Cd10 Cd 0.756 0.749 0.248 1
Cd11 Cd 0.256 0.752 0.251 1
Cd12 Cd 0.244 0.251 0.752 1


Repeat the eighth record exactly.
# Na2Li5Cd4 (PBE-GGA, optimized geometry)
# DFT formation energy: -0.142 eV per atom
# SG: No. 10
data_Na2Li5Cd4
_chemical_formula_sum 'Na2 Li5 Cd4'
_space_group_name_H-M_alt 'P 1'
_space_group_IT_number 1
_space_group_name_Hall 'P 1'
_cell_length_a 3.126
_cell_length_b 7.893
_cell_length_c 9.915
_cell_angle_alpha 108.56
_cell_angle_beta 90.00
_cell_angle_gamma 90.00
loop_
_atom_site_label
_atom_site_type_symbol
_atom_site_fract_x
_atom_site_fract_y
_atom_site_fract_z
_atom_site_occupancy
Na1 Na 0.000 0.856 0.583 1
Na2 Na 0.000 0.144 0.417 1
Li1 Li 0.000 0.495 0.346 1
Li2 Li 0.000 0.938 0.113 1
Li3 Li 0.000 0.500 0.000 1
Li4 Li 0.000 0.062 0.887 1
Li5 Li 0.000 0.505 0.654 1
Cd1 Cd 0.500 0.269 0.752 1
Cd2 Cd 0.500 0.735 0.873 1
Cd3 Cd 0.500 0.731 0.248 1
Cd4 Cd 0.500 0.265 0.127 1


Repeat the third record exactly.
# Na12Li3Cd (PBE-GGA, optimized geometry)
# DFT formation energy: 0.024 eV per atom
# SG: No. 123
data_Na12Li3Cd
_chemical_formula_sum 'Na12 Li3 Cd1'
_space_group_name_H-M_alt 'P 1'
_space_group_IT_number 1
_space_group_name_Hall 'P 1'
_cell_length_a 5.191
_cell_length_b 5.191
_cell_length_c 18.932
_cell_angle_alpha 90.00
_cell_angle_beta 90.00
_cell_angle_gamma 90.00
loop_
_atom_site_label
_atom_site_type_symbol
_atom_site_fract_x
_atom_site_fract_y
_atom_site_fract_z
_atom_site_occupancy
Na1 Na 0.500 0.500 0.000 1
Na2 Na 0.500 0.500 0.247 1
Na3 Na 0.500 0.500 0.500 1
Na4 Na 0.500 0.500 0.753 1
Na5 Na 0.500 0.000 0.119 1
Na6 Na 0.500 0.000 0.373 1
Na7 Na 0.500 0.000 0.627 1
Na8 Na 0.500 0.000 0.881 1
Na9 Na 0.000 0.500 0.119 1
Na10 Na 0.000 0.500 0.373 1
Na11 Na 0.000 0.500 0.627 1
Na12 Na 0.000 0.500 0.881 1
Li1 Li 0.000 0.000 0.248 1
Li2 Li 0.000 0.000 0.500 1
Li3 Li 0.000 0.000 0.752 1
Cd1 Cd 0.000 0.000 0.000 1